[1]
# AcAsP2Rh5 PBE optimized geometry
# N(E_F): 5.09 states/eV per cell
# Total energy: -63.2 eV per formula unit
# Calculated formation energy: -766 meV per atom
data_AcAsP2Rh5
_chemical_formula_sum 'Ac1 As1 P2 Rh5'
_symmetry_space_group_name_H-M 'P 4/m m m'
_symmetry_Int_Tables_number 123
_symmetry_space_group_name_Hall '-P 4 2'
_cell_length_a 4.0562
_cell_length_b 4.0562
_cell_length_c 9.9516
_cell_angle_alpha 90.00
_cell_angle_beta 90.00
_cell_angle_gamma 90.00
loop_
_atom_site_label
_atom_site_type_symbol
_atom_site_fract_x
_atom_site_fract_y
_atom_site_fract_z
_atom_site_occupancy
Ac1 Ac 0.0000 0.0000 0.0000 1
As1 As 0.0000 0.0000 0.5000 1
P1 P 0.5000 0.5000 0.2314 1
Rh1 Rh 0.0000 0.5000 0.3459 1
Rh2 Rh 0.5000 0.5000 0.0000 1


[2]
# LiMo2Br PBE optimized geometry
# N(E_F): 4.62 states/eV per cell
# Total energy: -21.2 eV per formula unit
# Raw formation energy: 1.016 eV per atom
# ΔE to the lowest computed polymorph: 946 meV/atom
data_LiMo2Br
_chemical_formula_sum 'Li1 Mo2 Br1'
_symmetry_space_group_name_H-M 'P 4/m m m'
_symmetry_Int_Tables_number 123
_symmetry_space_group_name_Hall '-P 4 2'
_cell_length_a 4.6456
_cell_length_b 4.6456
_cell_length_c 2.8500
_cell_angle_alpha 90.00
_cell_angle_beta 90.00
_cell_angle_gamma 90.00
loop_
_atom_site_label
_atom_site_type_symbol
_atom_site_fract_x
_atom_site_fract_y
_atom_site_fract_z
_atom_site_occupancy
Li1 Li 0.0000 0.0000 0.0000 1
Mo1 Mo 0.0000 0.5000 0.5000 1
Br1 Br 0.5000 0.5000 0.0000 1


[3]
# Nd2ZnAs3Pt4 PBE optimized geometry
# N(E_F): 4.89 states/eV per cell
# Total energy: -57.6 eV per formula unit
# Calculated formation energy: -870 meV per atom
data_Nd2ZnAs3Pt4
_chemical_formula_sum 'Nd2 Zn1 As3 Pt4'
_symmetry_space_group_name_H-M 'P -4 m 2'
_symmetry_Int_Tables_number 115
_symmetry_space_group_name_Hall 'P -4 -2'
_cell_length_a 4.3555
_cell_length_b 4.3555
_cell_length_c 10.2737
_cell_angle_alpha 90.00
_cell_angle_beta 90.00
_cell_angle_gamma 90.00
loop_
_atom_site_label
_atom_site_type_symbol
_atom_site_fract_x
_atom_site_fract_y
_atom_site_fract_z
_atom_site_occupancy
Nd1 Nd 0.0000 0.5000 0.2434 1
Zn1 Zn 0.0000 0.0000 0.5000 1
As1 As 0.0000 0.5000 0.8654 1
As2 As 0.5000 0.5000 0.5000 1
Pt1 Pt 0.0000 0.0000 0.0000 1
Pt2 Pt 0.0000 0.5000 0.6276 1
Pt3 Pt 0.5000 0.5000 0.0000 1


[4]
# Rb8InHg2 PBE optimized geometry
# N(E_F): 15.39 states/eV per cell
# Total energy: -11.8 eV per formula unit
# Calculated formation energy: -69 meV per atom
data_Rb8InHg2
_chemical_formula_sum 'Rb16 In2 Hg4'
_symmetry_space_group_name_H-M 'C 1 2/m 1'
_symmetry_Int_Tables_number 12
_symmetry_space_group_name_Hall '-C 2y'
_cell_length_a 15.4206
_cell_length_b 11.0506
_cell_length_c 8.5774
_cell_angle_alpha 90.00
_cell_angle_beta 90.22
_cell_angle_gamma 90.00
loop_
_atom_site_label
_atom_site_type_symbol
_atom_site_fract_x
_atom_site_fract_y
_atom_site_fract_z
_atom_site_occupancy
Rb1 Rb 0.1250 0.0000 0.3880 1
Rb2 Rb 0.1281 0.2829 0.8300 1
Rb3 Rb 0.1279 0.5000 0.3112 1
In1 In 0.0000 0.0000 0.0000 1
Hg1 Hg 0.1970 0.0000 0.9908 1